DyEr4N4: optimized geometry, PBE-GGA.

Values from the calculation:
Total moment = 0.00 μB/cell
ΔE_f (raw) = -1.558 eV per atom

abc: 4.8558 5.9872 5.9861
angles: 80.55 66.07 66.08
With the nearest neighbours (Å) after each atom.
Sites, in units of the cell vectors:
Er 0.6090 0.5788 0.2033  5 N 2.33-2.49
Er 0.3910 0.4212 0.7967  5 N 2.33-2.49
Er 0.8122 0.7968 0.5788  5 N 2.33-2.49
Er 0.1878 0.2032 0.4212  5 N 2.33-2.49
N 0.7000 0.2006 0.3994  5 Er 2.33-2.49, 1 Dy 2.45
N 0.0993 0.6008 0.2006  5 Er 2.33-2.49, 1 Dy 2.45
N 0.3000 0.7994 0.6006  5 Er 2.33-2.49, 1 Dy 2.45
N 0.9007 0.3992 0.7994  5 Er 2.33-2.49, 1 Dy 2.45
Dy 0.0000 0.0000 0.0000  4 N 2.45